First-principles (GGA-PBE) data for an optimized crystal structure of AgSbSe2, as listed in Alexandria.

Calculated volume (Å³/atom): 26.45
Symmetry: Cmmm, No. 65
Formation energy from raw total energies (kJ/mol of formula units): 42

POSCAR file:
```
AgSbSe2
1.0
4.036 -0.085 0.000
-1.998 3.508 0.000
0.000 0.000 7.566
Se Sb Ag
2 1 1
direct
0.000 0.000 0.009 Se
0.000 0.000 0.491 Se
0.500 0.500 0.750 Sb
0.500 0.500 0.250 Ag
```